# 1
Here is a relaxed structure of ThMg4Hg2 from Alexandria. Energies are from PBE.

abc: 8.487 8.487 4.585
angles: 90.00 90.00 90.00
Fractional coordinates of all 14 atoms:
Th (0.000, 0.000, 0.000)
Th (0.500, 0.500, 0.500)
Mg (0.094, 0.340, 0.500)
Mg (0.160, 0.594, 0.000)
Mg (0.340, 0.094, 0.500)
Mg (0.406, 0.840, 0.000)
Mg (0.594, 0.160, 0.000)
Mg (0.660, 0.906, 0.500)
Mg (0.840, 0.406, 0.000)
Mg (0.906, 0.660, 0.500)
Hg (0.208, 0.792, 0.500)
Hg (0.292, 0.292, 0.000)
Hg (0.708, 0.708, 0.000)
Hg (0.792, 0.208, 0.500)

## Properties
energy	-2.227	eV/atom
calculated density	7.34	g/cm³
DFT formation energy	-0.169	eV/atom

# 2
Here is a relaxed structure of HoEr2Pa from Alexandria. Energies are from PBE.

abc: 5.740 5.740 3.512
angles: 90.00 90.00 90.00
Fractional coordinates of all 4 atoms:
Ho (0.000, 0.000, 0.000)
Er (0.000, 0.500, 0.500)
Er (0.500, 0.000, 0.500)
Pa (0.500, 0.500, 0.000)

## Properties
energy	-5.516	eV/atom
calculated density	10.48	g/cm³
DFT formation energy	0.284	eV/atom
energy above the lowest structure with this stoichiometry	0.727	eV per formula unit

# 3
Here is a relaxed structure of Ga2SiPbS6 from Alexandria. Energies are from PBE.

abc: 8.735 8.735 7.297
angles: 109.19 109.19 83.35
Fractional coordinates of all 20 atoms:
Ga (0.127, 0.250, 0.154)
Ga (0.250, 0.127, 0.654)
Ga (0.750, 0.873, 0.346)
Ga (0.873, 0.750, 0.846)
Si (0.319, 0.681, 0.250)
Si (0.681, 0.319, 0.750)
Pb (0.340, 0.660, 0.750)
Pb (0.660, 0.340, 0.250)
S (0.064, 0.231, 0.429)
S (0.125, 0.631, 0.971)
S (0.231, 0.064, 0.929)
S (0.324, 0.461, 0.328)
S (0.369, 0.875, 0.529)
S (0.461, 0.324, 0.828)
S (0.539, 0.676, 0.172)
S (0.631, 0.125, 0.471)
S (0.676, 0.539, 0.672)
S (0.769, 0.936, 0.071)
S (0.875, 0.369, 0.029)
S (0.936, 0.769, 0.571)

## Properties
energy	-4.511	eV/atom
calculated density	3.79	g/cm³

# 4
Here is a relaxed structure of Cs2YAg3F12 from Alexandria. Energies are from PBE.

abc: 8.130 8.130 8.130
angles: 58.79 58.79 58.79
Fractional coordinates of all 18 atoms:
Cs (0.124, 0.124, 0.124)
Cs (0.876, 0.876, 0.876)
Y (0.500, 0.500, 0.500)
Ag (0.000, 0.500, 0.500)
Ag (0.500, 0.000, 0.500)
Ag (0.500, 0.500, 0.000)
F (0.170, 0.582, 0.582)
F (0.188, 0.188, 0.575)
F (0.188, 0.575, 0.188)
F (0.418, 0.418, 0.830)
F (0.418, 0.830, 0.418)
F (0.425, 0.812, 0.812)
F (0.575, 0.188, 0.188)
F (0.582, 0.170, 0.582)
F (0.582, 0.582, 0.170)
F (0.812, 0.425, 0.812)
F (0.812, 0.812, 0.425)
F (0.830, 0.418, 0.418)

## Properties
energy	-4.330	eV/atom
calculated density	4.07	g/cm³

# 5
Here is a relaxed structure of ZrAgAu2 from Alexandria. Energies are from PBE.

abc: 3.509 3.509 6.241
angles: 90.00 90.00 90.00
Fractional coordinates of all 4 atoms:
Zr (0.000, 0.000, 0.000)
Ag (0.500, 0.500, 0.278)
Au (0.000, 0.000, 0.507)
Au (0.500, 0.500, 0.762)

## Properties
energy	-4.710	eV/atom
calculated density	12.82	g/cm³
DFT formation energy	-0.221	eV/atom
energy above the lowest structure with this stoichiometry	0.694	eV per formula unit

# 6
Here is a relaxed structure of AgPb2Br from Alexandria. Energies are from PBE.

abc: 5.270 6.097 3.530
angles: 90.00 90.00 90.00
Fractional coordinates of all 4 atoms:
Ag (0.000, 0.000, 0.000)
Pb (0.000, 0.500, 0.999)
Pb (0.500, 0.000, 0.500)
Br (0.500, 0.500, 0.498)

## Properties
energy	-3.060	eV/atom
calculated density	8.82	g/cm³
energy above the lowest structure with this stoichiometry	0.240	eV per formula unit

# 7
Here is a relaxed structure of ErSc2Si from Alexandria. Energies are from PBE.

abc: 3.322 3.322 30.736
angles: 90.00 90.00 120.00
Fractional coordinates of all 12 atoms:
Er (0.000, 0.000, 0.000)
Er (0.333, 0.667, 0.667)
Er (0.667, 0.333, 0.333)
Sc (0.000, 0.000, 0.105)
Sc (0.000, 0.000, 0.895)
Sc (0.333, 0.667, 0.562)
Sc (0.333, 0.667, 0.771)
Sc (0.667, 0.333, 0.229)
Sc (0.667, 0.333, 0.438)
Si (0.000, 0.000, 0.500)
Si (0.333, 0.667, 0.167)
Si (0.667, 0.333, 0.833)

## Properties
energy	-5.651	eV/atom
calculated density	4.84	g/cm³
energy above the lowest structure with this stoichiometry	1.281	eV per formula unit

# 8
Here is a relaxed structure of Zr5Ag3 from Alexandria. Energies are from PBE.

abc: 8.589 8.589 5.324
angles: 90.00 90.00 120.00
Fractional coordinates of all 16 atoms:
Zr (0.000, 0.232, 0.250)
Zr (0.000, 0.768, 0.750)
Zr (0.232, 0.000, 0.250)
Zr (0.232, 0.232, 0.750)
Zr (0.333, 0.667, 0.000)
Zr (0.333, 0.667, 0.500)
Zr (0.667, 0.333, 0.000)
Zr (0.667, 0.333, 0.500)
Zr (0.768, 0.000, 0.750)
Zr (0.768, 0.768, 0.250)
Ag (0.000, 0.402, 0.750)
Ag (0.000, 0.598, 0.250)
Ag (0.402, 0.000, 0.750)
Ag (0.402, 0.402, 0.250)
Ag (0.598, 0.000, 0.250)
Ag (0.598, 0.598, 0.750)

## Properties
energy	-6.362	eV/atom
calculated density	7.61	g/cm³
DFT formation energy	0.050	eV/atom
energy above the lowest structure with this stoichiometry	0.251	eV per formula unit

# 9
Here is a relaxed structure of TlReSe from Alexandria. Energies are from PBE.

abc: 6.229 3.269 6.899
angles: 90.00 96.24 90.00
Fractional coordinates of all 6 atoms:
Tl (0.220, 0.250, 0.070)
Tl (0.780, 0.750, 0.930)
Re (0.020, 0.250, 0.659)
Re (0.980, 0.750, 0.341)
Se (0.295, 0.750, 0.599)
Se (0.705, 0.250, 0.401)

## Properties
energy	-5.898	eV/atom
calculated density	11.17	g/cm³
energy above the lowest structure with this stoichiometry	0.358	eV per formula unit

# 10
Here is a relaxed structure of YOsI2N from Alexandria. Energies are from PBE.

abc: 6.134 6.134 4.091
angles: 90.00 90.00 90.00
Fractional coordinates of all 5 atoms:
Y (0.000, 0.000, 0.000)
Os (0.500, 0.500, 0.500)
I (0.000, 0.500, 0.000)
I (0.500, 0.000, 0.000)
N (0.000, 0.000, 0.500)

## Properties
energy	-4.691	eV/atom
calculated density	5.90	g/cm³
energy above the lowest structure with this stoichiometry	4.900	eV per formula unit

# 11
Here is a relaxed structure of K2NiOs from Alexandria. Energies are from PBE.

abc: 2.740 3.926 10.123
angles: 90.00 92.11 90.00
Fractional coordinates of all 4 atoms:
K (0.000, 0.000, 0.000)
K (0.426, 0.500, 0.566)
Ni (0.399, 0.500, 0.247)
Os (0.898, 0.000, 0.313)

## Properties
energy	-4.107	eV/atom
calculated density	4.99	g/cm³
DFT formation energy	0.695	eV/atom
energy above the lowest structure with this stoichiometry	0.000	eV per formula unit

# 12
Here is a relaxed structure of LaSn2RhCl from Alexandria. Energies are from PBE.

abc: 5.029 5.029 5.752
angles: 90.00 90.00 90.00
Fractional coordinates of all 5 atoms:
La (0.000, 0.000, 0.000)
Sn (0.000, 0.500, 0.500)
Sn (0.500, 0.000, 0.500)
Rh (0.000, 0.000, 0.500)
Cl (0.500, 0.500, 0.000)

## Properties
energy	-5.094	eV/atom
calculated density	5.87	g/cm³

# 13
Here is a relaxed structure of BeNi2Pb from Alexandria. Energies are from PBE.

abc: 3.870 3.870 3.628
angles: 90.00 90.00 90.00
Fractional coordinates of all 4 atoms:
Be (0.000, 0.000, 0.000)
Ni (0.000, 0.500, 0.500)
Ni (0.500, 0.000, 0.500)
Pb (0.500, 0.500, 0.000)

## Properties
energy	-4.511	eV/atom
calculated density	10.19	g/cm³
DFT formation energy	0.238	eV/atom
energy above the lowest structure with this stoichiometry	0.721	eV per formula unit

# 14
Here is a relaxed structure of Hg2P from Alexandria. Energies are from PBE.

abc: 4.159 4.159 4.585
angles: 90.00 90.00 120.00
Fractional coordinates of all 3 atoms:
Hg (0.333, 0.667, 0.209)
Hg (0.667, 0.333, 0.791)
P (0.000, 0.000, 0.500)

## Properties
energy	-1.662	eV/atom
calculated density	10.45	g/cm³
DFT formation energy	0.342	eV/atom
energy above the lowest structure with this stoichiometry	0.763	eV per formula unit

# 15
Here is a relaxed structure of Sr2TcHg from Alexandria. Energies are from PBE.

abc: 3.658 3.658 8.543
angles: 90.00 90.00 90.00
Fractional coordinates of all 4 atoms:
Sr (0.000, 0.000, 0.230)
Sr (0.000, 0.000, 0.770)
Tc (0.500, 0.500, 0.000)
Hg (0.500, 0.500, 0.500)

## Properties
energy	-3.137	eV/atom
calculated density	6.88	g/cm³
DFT formation energy	0.371	eV/atom

# 16
Here is a relaxed structure of AcEr2Tl2Cd2 from Alexandria. Energies are from PBE.

abc: 9.554 9.554 9.554
angles: 30.84 30.84 30.84
Fractional coordinates of all 7 atoms:
Ac (0.000, 0.000, 0.000)
Er (0.137, 0.137, 0.137)
Er (0.863, 0.863, 0.863)
Tl (0.262, 0.262, 0.262)
Tl (0.738, 0.738, 0.738)
Cd (0.440, 0.440, 0.440)
Cd (0.560, 0.560, 0.560)

## Properties
energy	-3.031	eV/atom
calculated density	9.77	g/cm³
DFT formation energy	-0.203	eV/atom

# 17
Here is a relaxed structure of ZnSn3Pb from Alexandria. Energies are from PBE.

abc: 5.289 5.289 5.289
angles: 90.00 90.00 90.00
Fractional coordinates of all 5 atoms:
Zn (0.000, 0.000, 0.000)
Sn (0.000, 0.000, 0.500)
Sn (0.000, 0.500, 0.000)
Sn (0.500, 0.000, 0.000)
Pb (0.500, 0.500, 0.500)

## Properties
energy	-3.102	eV/atom
calculated density	7.06	g/cm³
DFT formation energy	0.297	eV/atom
energy above the lowest structure with this stoichiometry	0.000	eV per formula unit

# 18
Here is a relaxed structure of MgF3 from Alexandria. Energies are from PBE.

abc: 2.975 6.290 5.009
angles: 90.00 90.00 90.00
Fractional coordinates of all 8 atoms:
Mg (0.000, 0.000, 0.000)
Mg (0.500, 0.500, 0.500)
F (0.000, 0.333, 0.714)
F (0.000, 0.500, 0.242)
F (0.000, 0.667, 0.714)
F (0.500, 0.000, 0.742)
F (0.500, 0.167, 0.214)
F (0.500, 0.833, 0.214)

## Properties
energy	-4.180	eV/atom
calculated density	2.88	g/cm³

# 19
Here is a relaxed structure of Na4Bi2Pb from Alexandria. Energies are from PBE.

abc: 6.300 9.020 8.174
angles: 90.00 98.02 90.00
Fractional coordinates of all 14 atoms:
Na (0.065, 0.189, 0.017)
Na (0.065, 0.311, 0.517)
Na (0.369, 0.642, 0.850)
Na (0.369, 0.858, 0.350)
Na (0.631, 0.142, 0.650)
Na (0.631, 0.358, 0.150)
Na (0.935, 0.689, 0.483)
Na (0.935, 0.811, 0.983)
Bi (0.161, 0.523, 0.182)
Bi (0.161, 0.977, 0.682)
Bi (0.839, 0.023, 0.318)
Bi (0.839, 0.477, 0.818)
Pb (0.500, 0.000, 0.000)
Pb (0.500, 0.500, 0.500)

## Properties
energy	-2.583	eV/atom
calculated density	5.18	g/cm³
DFT formation energy	-0.191	eV/atom
energy above the lowest structure with this stoichiometry	0.000	eV per formula unit

# 20
Here is a relaxed structure of Sm2ScAg4 from Alexandria. Energies are from PBE.

abc: 5.212 5.212 12.860
angles: 90.00 90.00 90.00
Fractional coordinates of all 14 atoms:
Sm (0.000, 0.000, 0.225)
Sm (0.000, 0.000, 0.775)
Sm (0.500, 0.500, 0.275)
Sm (0.500, 0.500, 0.725)
Sc (0.000, 0.000, 0.500)
Sc (0.500, 0.500, 0.000)
Ag (0.000, 0.500, 0.111)
Ag (0.000, 0.500, 0.389)
Ag (0.000, 0.500, 0.611)
Ag (0.000, 0.500, 0.889)
Ag (0.500, 0.000, 0.111)
Ag (0.500, 0.000, 0.389)
Ag (0.500, 0.000, 0.611)
Ag (0.500, 0.000, 0.889)

## Properties
energy	-3.976	eV/atom
calculated density	7.39	g/cm³
DFT formation energy	-0.094	eV/atom